# KMgBeSe

An optimized crystal structure of KMgBeSe (PBE-GGA, Alexandria).

Results
Symmetry: No. 160
Formation energy without anion corrections: -0.19 eV/atom
M_tot: 0.0 μB per formula unit

Cell lengths 4.2571, 4.2616, 7.4614 Å; angles 73.45, 73.43, 60.04 degrees
With the nearest neighbours (Å) after each atom.
Fractional positions:
Be 0.2369 0.9034 0.0401  1 Se 2.18
K 0.7922 0.4584 0.3743  3 Be 3.40-3.41, 3 Se 3.51
Mg 0.6094 0.2764 0.9221  3 Be 2.60, 3 Se 2.80-2.81
Se 0.3403 0.0065 0.7305  1 Be 2.18

# BTe2P

An optimized crystal structure of BTe2P (PBE-GGA, Alexandria).

Results
Symmetry: No. 122
Formation energy without anion corrections: 0.69 eV/atom
M_tot: 0.0 μB per formula unit

Cell lengths 6.4949, 6.4949, 6.3289 Å; angles 59.13, 59.13, 90.00 degrees
With the nearest neighbours (Å) after each atom.
Fractional positions:
P 0.0000 0.0000 0.0000  4 Te 2.80
P 0.7500 0.2500 0.5000  4 Te 2.80
B 0.5000 0.5000 0.0000  4 Te 2.32
B 0.2500 0.7500 0.5000  4 Te 2.32
Te 0.5672 0.1250 0.2500  2 B 2.32
Te 0.1828 0.6250 0.2500  2 B 2.32
Te 0.3750 0.4328 0.7500  2 B 2.32
Te 0.8750 0.8172 0.7500  2 B 2.32

# VSiIr2

An optimized crystal structure of VSiIr2 (PBE-GGA, Alexandria).

Results
Symmetry: No. 123
Formation energy without anion corrections: -0.56 eV/atom
M_tot: 0.0 μB per formula unit

Cell lengths 2.8165, 2.8165, 6.8545 Å; angles 90.00, 90.00, 90.00 degrees
With the nearest neighbours (Å) after each atom.
Fractional positions:
Si 0.5000 0.5000 0.0000  8 Ir 2.51
Ir 0.0000 0.0000 0.7777  4 Si 2.51, 4 V 2.75
Ir 0.0000 0.0000 0.2223  4 Si 2.51, 4 V 2.75
V 0.5000 0.5000 0.5000  8 Ir 2.75, 4 V 2.82

# ZnInAs2

An optimized crystal structure of ZnInAs2 (PBE-GGA, Alexandria).

Results
Symmetry: No. 99
Formation enthalpy at 0 K: 300 meV per atom
M_tot: 0.0 μB per formula unit

Cell lengths 2.9619, 2.9619, 9.3906 Å; angles 90.00, 90.00, 90.00 degrees
With the nearest neighbours (Å) after each atom.
Fractional positions:
As 0.0000 0.0000 0.9639  4 Zn 2.81, 4 As 2.96
As 0.5000 0.5000 0.2570  4 As 2.96, 4 In 3.20
In 0.0000 0.0000 0.5142  4 In 2.96, 4 Zn 3.15, 4 As 3.20
Zn 0.5000 0.5000 0.7649  4 As 2.81, 4 Zn 2.96

# La6GeAs2S3

An optimized crystal structure of La6GeAs2S3 (PBE-GGA, Alexandria).

Results
Symmetry: No. 12
Formation energy without anion corrections: -1.77 eV/atom
M_tot: 0.0 μB per formula unit

Cell lengths 4.3046, 8.5381, 9.5688 Å; angles 102.35, 103.00, 90.00 degrees
With the nearest neighbours (Å) after each atom.
Fractional positions:
La 0.3336 0.9184 0.6671  3 S 3.03, 1 Ge 3.03, 2 As 3.05
La 0.6661 0.5842 0.3322  3 S 3.02, 3 As 3.03
La 0.6664 0.0816 0.3329  3 S 3.03, 1 Ge 3.03, 2 As 3.05
La 0.9994 0.2499 0.9988  3 S 3.03, 2 Ge 3.03, 1 As 3.06
La 0.0006 0.7501 0.0012  3 S 3.03, 2 Ge 3.03, 1 As 3.06
La 0.3339 0.4158 0.6678  3 S 3.02, 3 As 3.03
Ge 0.5000 0.0000 0.0000  6 La 3.03
As 0.8325 0.6652 0.6651  6 La 3.03-3.06
As 0.1675 0.3348 0.3349  6 La 3.03-3.06
S 0.5000 0.5000 0.0000  6 La 3.02-3.03
S 0.8327 0.1676 0.6654  6 La 3.02-3.03
S 0.1673 0.8324 0.3346  6 La 3.02-3.03

# CaTlAs2

An optimized crystal structure of CaTlAs2 (PBE-GGA, Alexandria).

Results
Symmetry: No. 123
Formation enthalpy at 0 K: -295 meV per atom
M_tot: 0.0 μB per formula unit

Cell lengths 3.3119, 3.3119, 9.1739 Å; angles 90.00, 90.00, 89.99 degrees
With the nearest neighbours (Å) after each atom.
Fractional positions:
Tl 0.5000 0.5000 0.7500  4 Tl 3.31, 8 As 3.44
Ca 0.5000 0.5000 0.2500  8 As 3.13, 4 Ca 3.31
As 0.0000 0.0000 0.0242  4 Ca 3.13, 4 As 3.31, 4 Tl 3.44
As 0.0000 0.0000 0.4758  4 Ca 3.13, 4 As 3.31, 4 Tl 3.44

Repeat the fifth record exactly.
# La6GeAs2S3

An optimized crystal structure of La6GeAs2S3 (PBE-GGA, Alexandria).

Results
Symmetry: No. 12
Formation energy without anion corrections: -1.77 eV/atom
M_tot: 0.0 μB per formula unit

Cell lengths 4.3046, 8.5381, 9.5688 Å; angles 102.35, 103.00, 90.00 degrees
With the nearest neighbours (Å) after each atom.
Fractional positions:
La 0.3336 0.9184 0.6671  3 S 3.03, 1 Ge 3.03, 2 As 3.05
La 0.6661 0.5842 0.3322  3 S 3.02, 3 As 3.03
La 0.6664 0.0816 0.3329  3 S 3.03, 1 Ge 3.03, 2 As 3.05
La 0.9994 0.2499 0.9988  3 S 3.03, 2 Ge 3.03, 1 As 3.06
La 0.0006 0.7501 0.0012  3 S 3.03, 2 Ge 3.03, 1 As 3.06
La 0.3339 0.4158 0.6678  3 S 3.02, 3 As 3.03
Ge 0.5000 0.0000 0.0000  6 La 3.03
As 0.8325 0.6652 0.6651  6 La 3.03-3.06
As 0.1675 0.3348 0.3349  6 La 3.03-3.06
S 0.5000 0.5000 0.0000  6 La 3.02-3.03
S 0.8327 0.1676 0.6654  6 La 3.02-3.03
S 0.1673 0.8324 0.3346  6 La 3.02-3.03